1.
This record from Alexandria via LeMat-Bulk describes a geometry-optimized Zn2ReSnN4 structure. The functional is PBE.

Results
The space-group type is Fmm2. Its energy relative to the elements, uncorrected is 0.17 eV per atom.

abc: 5.162 5.162 5.613
angles: 117.32 117.32 90.10
Positions (direct):
N1 0.577 0.577 0.740
N2 0.423 0.837 0.260
N3 0.837 0.423 0.260
N4 0.163 0.163 0.740
Re1 0.500 0.500 0.000
Zn1 0.250 0.750 0.500
Zn2 0.750 0.250 0.500
Sn1 0.001 0.001 0.001

---

2.
This record from Alexandria via LeMat-Bulk describes a geometry-optimized Sr3Re2N4 structure. The functional is PBE.

Results
The space-group type is C2/c. Its energy relative to the elements, uncorrected is -0.31 eV per atom.

abc: 7.409 9.656 5.553
angles: 90.00 96.87 130.67
Positions (direct):
N1 0.763 0.700 0.976
N2 0.639 0.299 0.885
N3 0.237 0.300 0.024
N4 0.361 0.701 0.115
N5 0.361 0.659 0.615
N6 0.639 0.341 0.385
N7 0.237 0.938 0.524
N8 0.763 0.062 0.476
Sr1 0.248 0.008 0.039
Sr2 0.000 0.611 0.750
Sr3 0.000 0.389 0.250
Sr4 0.752 0.992 0.961
Sr5 0.248 0.240 0.539
Sr6 0.752 0.760 0.461
Re1 0.605 0.164 0.589
Re2 0.605 0.441 0.089
Re3 0.395 0.836 0.411
Re4 0.395 0.559 0.911

---

| no. | DOS at the Fermi energy (states/eV/f.u.) |
| --- | --- |
| 1 | 3.4 |
| 2 | 3.4 |